The following is a PBE calculation of a relaxed LiBi8Rh2 crystal, from Alexandria via LeMat-Bulk.

Its total moment is 0.000 μB per atom. The volume comes out at 29.77 Å³/atom. The calculation puts the total energy at -47.4 eV for the cell shown. For the formation enthalpy at 0 K, the calculation gives 0.026 eV/atom.

Lattice parameters (Å, degrees): 8.244 8.244 5.376 94.06 94.06 64.11
Atoms (fractional coordinates):
Li: 0.000 0.000 0.000
Bi: 0.179 0.620 0.750
Bi: 0.211 0.211 0.744
Bi: 0.379 0.379 0.257
Bi: 0.380 0.821 0.250
Bi: 0.620 0.179 0.750
Bi: 0.621 0.621 0.743
Bi: 0.789 0.789 0.256
Bi: 0.821 0.380 0.250
Rh: 0.179 0.179 0.237
Rh: 0.821 0.821 0.763